[1]
{"formula": "Y2ReSiO", "functional": "PBE-GGA", "state": "relaxed", "cell": [[5.3744, 0.0000, 0.0000], [0.0000, 5.3744, 0.0000], [0.0000, 0.0000, 4.3387]], "species": ["Y", "Y", "Re", "Si", "O"], "fractional_positions": [[0.0000, 0.5000, 0.0000], [0.5000, 0.0000, 0.0000], [0.0000, 0.0000, 0.5000], [0.0000, 0.0000, 0.0000], [0.5000, 0.5000, 0.5000]], "crystal_system": "tetragonal", "spacegroup": "P4/mmm (123)", "formation_energy_uncorrected_ev_per_atom": 0.433, "n_ef_per_ev_fu": 4.3}



[2]
{"formula": "SmRe2O8", "functional": "PBE-GGA", "state": "relaxed", "cell": [[5.5170, -3.0742, 0.0000], [5.5170, 3.0742, 0.0000], [-1.5511, 0.0000, 5.7384]], "species": ["Sm", "Re", "Re", "O", "O", "O", "O", "O", "O", "O", "O"], "fractional_positions": [[0.0000, 0.0000, 0.0000], [0.1963, 0.1963, 0.6790], [0.8037, 0.8037, 0.3210], [0.0878, 0.6607, 0.1933], [0.1443, 0.1443, 0.3664], [0.3393, 0.9122, 0.8067], [0.3592, 0.3592, 0.7763], [0.6408, 0.6408, 0.2237], [0.6607, 0.0878, 0.1933], [0.8557, 0.8557, 0.6336], [0.9122, 0.3393, 0.8067]], "crystal_system": "monoclinic", "spacegroup": "C2/m (12)", "formation_energy_uncorrected_ev_per_atom": -1.882, "n_ef_per_ev_fu": 4.8, "de_polymorph_kj_per_mol_atoms": 15.7}



[3]
{"formula": "SmReO6", "functional": "PBE-GGA", "state": "relaxed", "cell": [[2.9082, -3.3166, 0.0000], [2.9082, 3.3166, 0.0000], [-0.8407, 0.0000, 4.9656]], "species": ["Sm", "Re", "O", "O", "O", "O", "O", "O"], "fractional_positions": [[0.0000, 0.0000, 0.0000], [0.5000, 0.5000, 0.5000], [0.1756, 0.5585, 0.2394], [0.2214, 0.2214, 0.6468], [0.4415, 0.8244, 0.7606], [0.5585, 0.1756, 0.2394], [0.7786, 0.7786, 0.3532], [0.8244, 0.4415, 0.7606]], "crystal_system": "monoclinic", "spacegroup": "C2/m (12)", "formation_energy_uncorrected_ev_per_atom": -1.637, "n_ef_per_ev_fu": 2.6}